WSF3: optimized geometry, PBE with a Hubbard U.

Structure (POSCAR):
```
WSF3
1.0
4.318 0.000 0.000
0.000 4.318 0.000
0.000 0.000 4.318
W S F
1 1 3
direct
0.000 0.000 0.000
0.500 0.500 0.500
0.000 0.500 0.500
0.500 0.000 0.500
0.500 0.500 0.000
```

Calculated values
For the total magnetization, the calculation gives 4.68 μB/f.u. As for the space group: Pm-3m, No. 221. The calculation puts the energy above the most stable polymorph in this dataset at 1485 meV/atom. The calculation puts the final energy at -3.277 eV per atom. The calculation puts the density of states at the Fermi level at 3.89 states/eV/f.u. The value obtained for the calculated volume is 80.5 Å³/f.u.